AcInAsRh3: relaxed, GGA-PBE.

CIF file:
```
data_AcInAsRh3
_space_group_name_H-M_alt 'C m c m'
_space_group_IT_number 63
_space_group_name_Hall '-C 2c 2'
_cell_length_a 5.8592
_cell_length_b 15.7960
_cell_length_c 5.9360
_cell_angle_alpha 90.00
_cell_angle_beta 90.00
_cell_angle_gamma 90.00
loop_
_atom_site_label
_atom_site_fract_x
_atom_site_fract_y
_atom_site_fract_z
_atom_site_occupancy
Ac1 0.0000 0.2386 0.2500 1
In1 0.0000 0.1047 0.7500 1
As1 0.0000 0.4239 0.7500 1
Rh1 0.0000 0.2718 0.7500 1
Rh2 0.2486 0.5000 0.0000 1
```

crystal system: orthorhombic
calculated density: 8.77 Mg/m³
V: 549.4 Å³/cell
ΔH_f (0 K): -549.6 meV/atom

---

Ac12As3Ir5: relaxed, GGA-PBE.

CIF file:
```
data_Ac12As3Ir5
_space_group_name_H-M_alt 'I a -3 d'
_space_group_IT_number 230
_space_group_name_Hall '-I 4bd 2c 3'
_cell_length_a 18.1280
_cell_length_b 18.1280
_cell_length_c 18.1280
_cell_angle_alpha 90.00
_cell_angle_beta 90.00
_cell_angle_gamma 90.00
loop_
_atom_site_label
_atom_site_fract_x
_atom_site_fract_y
_atom_site_fract_z
_atom_site_occupancy
Ac1 0.0247 0.0599 0.6506 1
As1 0.0000 0.2500 0.1250 1
Ir1 0.0000 0.0000 0.0000 1
Ir2 0.0000 0.2500 0.3750 1
```

crystal system: cubic
calculated density: 8.72 Mg/m³
V: 5957.3 Å³/cell
ΔH_f (0 K): -527.0 meV/atom

---

Ac3AsIr: relaxed, GGA-PBE.

CIF file:
```
data_Ac3AsIr
_space_group_name_H-M_alt 'P m -3 m'
_space_group_IT_number 221
_space_group_name_Hall '-P 4 2 3'
_cell_length_a 5.7692
_cell_length_b 5.7692
_cell_length_c 5.7692
_cell_angle_alpha 90.00
_cell_angle_beta 90.00
_cell_angle_gamma 90.00
loop_
_atom_site_label
_atom_site_fract_x
_atom_site_fract_y
_atom_site_fract_z
_atom_site_occupancy
Ac1 0.0000 0.0000 0.5000 1
As1 0.5000 0.5000 0.5000 1
Ir1 0.0000 0.0000 0.0000 1
```

crystal system: cubic
calculated density: 8.20 Mg/m³
V: 192.0 Å³/cell
ΔH_f (0 K): -417.7 meV/atom

---

AcAs12Ir4: relaxed, GGA-PBE.

CIF file:
```
data_AcAs12Ir4
_space_group_name_H-M_alt 'I m -3'
_space_group_IT_number 204
_space_group_name_Hall '-I 2 2 3'
_cell_length_a 8.7312
_cell_length_b 8.7312
_cell_length_c 8.7312
_cell_angle_alpha 90.00
_cell_angle_beta 90.00
_cell_angle_gamma 90.00
loop_
_atom_site_label
_atom_site_fract_x
_atom_site_fract_y
_atom_site_fract_z
_atom_site_occupancy
Ac1 0.0000 0.0000 0.0000 1
As1 0.0000 0.3462 0.1463 1
Ir1 0.2500 0.2500 0.2500 1
```

crystal system: cubic
calculated density: 9.45 Mg/m³
V: 665.6 Å³/cell
ΔH_f (0 K): -472.2 meV/atom

---

AcAs2Ir: relaxed, GGA-PBE.

CIF file:
```
data_AcAs2Ir
_space_group_name_H-M_alt 'C m c m'
_space_group_IT_number 63
_space_group_name_Hall '-C 2c 2'
_cell_length_a 4.5374
_cell_length_b 16.9778
_cell_length_c 4.6385
_cell_angle_alpha 90.00
_cell_angle_beta 90.00
_cell_angle_gamma 90.00
loop_
_atom_site_label
_atom_site_fract_x
_atom_site_fract_y
_atom_site_fract_z
_atom_site_occupancy
Ac1 0.0000 0.1089 0.2500 1
As1 0.0000 0.2511 0.7500 1
As2 0.0000 0.4600 0.2500 1
Ir1 0.0000 0.3132 0.2500 1
```

crystal system: orthorhombic
calculated density: 10.58 Mg/m³
V: 357.3 Å³/cell
energy above the lowest structure with this stoichiometry: 0 meV/atom
ΔH_f (0 K): -896.3 meV/atom

---

AcAs2Ir: relaxed, GGA-PBE.

CIF file:
```
data_AcAs2Ir
_space_group_name_H-M_alt 'P 4/m m m'
_space_group_IT_number 123
_space_group_name_Hall '-P 4 2'
_cell_length_a 4.4589
_cell_length_b 4.4589
_cell_length_c 4.4257
_cell_angle_alpha 90.00
_cell_angle_beta 90.00
_cell_angle_gamma 90.00
loop_
_atom_site_label
_atom_site_fract_x
_atom_site_fract_y
_atom_site_fract_z
_atom_site_occupancy
Ac1 0.0000 0.0000 0.0000 1
As1 0.0000 0.5000 0.5000 1
Ir1 0.5000 0.5000 0.0000 1
```

crystal system: tetragonal
calculated density: 10.74 Mg/m³
V: 88.0 Å³/cell
energy above the lowest structure with this stoichiometry: 696 meV/atom
ΔH_f (0 K): -200.0 meV/atom

---

Ac3As4Ir2: relaxed, GGA-PBE.

CIF file:
```
data_Ac3As4Ir2
_space_group_name_H-M_alt 'C 1 2/m 1'
_space_group_IT_number 12
_space_group_name_Hall '-C 2y'
_cell_length_a 12.1648
_cell_length_b 4.4383
_cell_length_c 9.1358
_cell_angle_alpha 90.00
_cell_angle_beta 114.42
_cell_angle_gamma 90.00
loop_
_atom_site_label
_atom_site_fract_x
_atom_site_fract_y
_atom_site_fract_z
_atom_site_occupancy
Ac1 0.0000 0.0000 0.0000 1
Ac2 0.1281 0.5000 0.7056 1
As1 0.0988 0.0000 0.3921 1
As2 0.1986 0.5000 0.1056 1
Ir1 0.1930 0.5000 0.3850 1
```

crystal system: monoclinic
calculated density: 10.09 Mg/m³
V: 449.1 Å³/cell
ΔH_f (0 K): -922.8 meV/atom

---

AcAsIr2: relaxed, GGA-PBE.

CIF file:
```
data_AcAsIr2
_space_group_name_H-M_alt 'R -3 m'
_space_group_IT_number 166
_space_group_name_Hall '-R 3 2"'
_cell_length_a 4.3200
_cell_length_b 4.3200
_cell_length_c 16.2276
_cell_angle_alpha 90.00
_cell_angle_beta 90.00
_cell_angle_gamma 120.00
loop_
_atom_site_label
_atom_site_fract_x
_atom_site_fract_y
_atom_site_fract_z
_atom_site_occupancy
Ac1 0.0000 0.0000 0.0000 1
As1 0.0000 0.0000 0.5000 1
Ir1 0.0000 0.0000 0.2030 1
```

crystal system: trigonal
calculated density: 13.04 Mg/m³
V: 262.3 Å³/cell
ΔH_f (0 K): -485.9 meV/atom

---

Number 1: calculated total energy -147.39 eV per cell. Number 2: calculated total energy -944.76 eV per cell. Number 3: calculated total energy -27.92 eV per cell. Number 4: calculated total energy -206.75 eV per cell. Number 5: calculated total energy -103.41 eV per cell. Number 6: calculated total energy -23.07 eV per cell. Number 7: calculated total energy -113.90 eV per cell. Number 8: calculated total energy -85.27 eV per cell.